# PBE with a Hubbard U MgTiNiP3O12, relaxed
# - Raw total energy: -7.11 eV/atom
# - Size of the total moment: 5.77 Bohr magnetons per cell
data_MgTiNiP3O12
_chemical_formula_sum 'Mg6 Ti6 Ni6 P18 O72'
_cell_length_a 8.6225
_cell_length_b 8.6225
_cell_length_c 20.6302
_cell_angle_alpha 90.00
_cell_angle_beta 90.00
_cell_angle_gamma 120.00
_space_group_name_H-M_alt 'R 3 c'
_space_group_IT_number 161
_space_group_name_Hall 'R 3 -2"c'
loop_
_atom_site_label
_atom_site_fract_x
_atom_site_fract_y
_atom_site_fract_z
Mg1 0.0000 0.0000 0.0000
Ti1 0.0000 0.0000 0.1473
Ni1 0.0000 0.0000 0.3607
P1 0.0011 0.2957 0.2541
O1 0.0042 0.2025 0.3159
O2 0.0152 0.1833 0.9279
O3 0.1469 0.4770 0.8598
O4 0.1713 0.4840 0.2440